5
Lattice="5.578 0.000 0.000 0.000 6.385 0.000 0.000 0.000 5.578" Properties=species:S:1:pos:R:3 comment="BaTaIn2Sn (GGA-PBE, relaxed)" magnetic_moment_mub_per_cell=3.6 dft_energy_ev_per_atom=-3.42 dos_ef_per_ev_atom=1.7366 formation_enthalpy_0k_mev_per_atom=1230.5 pbc="T T T"
Ba 0.000 3.192 0.000
Ta 2.789 3.192 2.789
In 0.000 0.000 2.789
In 2.789 0.000 0.000
Sn 0.000 0.000 0.000

---

6
Lattice="3.317 0.000 0.959 1.999 5.818 -0.698 -0.334 -2.472 7.368" Properties=species:S:1:pos:R:3 comment="MgScHg4 (GGA-PBE, relaxed)" magnetic_moment_mub_per_cell=0.0 dft_energy_ev_per_atom=-1.72 dos_ef_per_ev_atom=0.4887 formation_enthalpy_0k_mev_per_atom=-200.9 pbc="T T T"
Hg 3.497 0.957 6.548
Hg 3.979 4.119 4.884
Hg 1.003 -0.773 2.745
Hg 1.485 2.389 1.081
Sc 0.000 0.000 0.000
Mg 2.491 1.673 3.814

---

6
Lattice="-5.124 0.009 -1.875 -1.792 -4.147 -3.061 -3.654 -3.509 2.029" Properties=species:S:1:pos:R:3 comment="LaRu2 (GGA-PBE, relaxed)" magnetic_moment_mub_per_cell=0.0 dft_energy_ev_per_atom=-7.95 dos_ef_per_ev_atom=1.7460 formation_enthalpy_0k_mev_per_atom=-125.8 pbc="T T T"
Ru -2.562 0.004 -0.938
Ru -4.389 -1.750 0.077
Ru -5.285 -3.823 -1.454
Ru -1.827 -1.754 1.014
La -2.217 -3.029 -1.894
La -8.353 -4.617 -1.014

---

6
Lattice="-5.072 0.927 5.738 0.220 6.366 4.352 -5.589 5.283 -0.607" Properties=species:S:1:pos:R:3 comment="BaSr4Cu (GGA-PBE, relaxed)" magnetic_moment_mub_per_cell=0.0 dft_energy_ev_per_atom=-1.65 dos_ef_per_ev_atom=0.6941 formation_enthalpy_0k_mev_per_atom=469.4 pbc="T T T"
Sr -3.916 4.717 3.557
Sr -6.451 5.180 6.425
Sr -6.709 7.357 3.253
Sr -3.805 7.898 5.732
Ba -7.830 9.432 7.112
Cu 0.000 0.000 0.000

---

10
Lattice="6.467 0.000 0.000 0.000 8.553 1.026 0.000 -1.482 6.251" Properties=species:S:1:pos:R:3 comment="Nd2SmYTh (GGA-PBE, relaxed)" magnetic_moment_mub_per_cell=0.0 dft_energy_ev_per_atom=-5.33 dos_ef_per_ev_atom=1.3206 formation_enthalpy_0k_mev_per_atom=297.9 pbc="T T T"
Th 3.560 -0.370 1.563
Th 2.907 -1.111 4.689
Sm 0.000 0.000 0.000
Sm 0.000 -0.741 3.126
Y 1.149 3.165 5.202
Y 5.318 3.906 2.076
Nd 1.961 5.456 2.505
Nd 4.506 1.614 4.773
Nd 4.506 4.715 5.631
Nd 1.961 2.355 1.647

---

4
Lattice="1.630 4.931 -0.014 -1.630 4.931 -0.014 0.000 1.361 4.757" Properties=species:S:1:pos:R:3 comment="YTa2P (GGA-PBE, relaxed)" magnetic_moment_mub_per_cell=0.0 dft_energy_ev_per_atom=-8.99 dos_ef_per_ev_atom=0.9611 formation_enthalpy_0k_mev_per_atom=-90.5 pbc="T T T"
Y 0.000 4.931 -0.014
Ta 0.000 3.734 3.336
Ta 0.000 7.488 1.392
P 0.000 0.681 2.378